A relaxed Pm2PuTiN5 crystal, computed with PBE.

a b c (Å): 3.4689 7.1769 10.3667
angles (deg): 90.00 90.00 103.99
Last column: magnetic moment on the atom in μB.
Element x y z (fractional)
Pu (0.7876, 0.5751, 0.5090)  3.47
N (0.3084, 0.6168, 0.3823)  -0.18
N (0.9477, 0.8954, 0.5407)  -0.06
Pu (0.2124, 0.4249, 0.0090)  3.47
N (0.6243, 0.2487, 0.5068)  -0.07
N (0.7188, 0.4377, 0.1458)  -0.18
Ti (0.4854, 0.9707, 0.4667)  0.04
N (0.3757, 0.7513, 0.0068)  -0.07
Pm (0.8935, 0.7870, 0.1926)  0.01
N (0.6916, 0.3832, 0.8823)  -0.18
Pm (0.8671, 0.7341, 0.7945)  0.04
Pm (0.1329, 0.2659, 0.2945)  0.04
Ti (0.5146, 0.0293, 0.9667)  0.04
N (0.2812, 0.5623, 0.6458)  -0.18
N (0.0523, 0.1046, 0.0407)  -0.06
N (0.5057, 0.0114, 0.2856)  -0.02
Pm (0.1065, 0.2130, 0.6926)  0.01
N (0.4943, 0.9886, 0.7856)  -0.02

- Crystal system: orthorhombic
- Raw formation energy: -1.310 eV/atom
- Magnetization: 6.0 μB/cell
- D(E_F): 12.97 states/eV per cell
- Uncorrected energy: -9.460 eV/atom

***

A relaxed TcOsWAu2 crystal, computed with PBE.

a b c (Å): 5.0146 4.6803 5.0146
angles (deg): 90.00 90.00 90.00
Last column: magnetic moment on the atom in μB.
Element x y z (fractional)
Au (0.5000, 0.0000, 0.0000)  0.01
Au (0.0000, 0.0000, 0.5000)  0.02
Tc (0.5000, 0.5000, 0.5000)  3.40
Os (0.0000, 0.0000, 0.0000)  0.22
W (0.0000, 0.5000, 0.0000)  -1.15

- Crystal system: tetragonal
- DFT formation energy: 1974 meV per atom
- Magnetization: 2.6 μB/cell
- D(E_F): 4.85 states/eV per cell
- Uncorrected energy: -6.247 eV/atom

***

A relaxed Co2NiOs crystal, computed with PBE.

a b c (Å): 4.3833 4.3833 4.3833
angles (deg): 131.85 131.83 70.48
Element x y z (fractional)
Ni (0.7500, 0.2500, 0.5000)
Os (0.2500, 0.7500, 0.5000)
Co (0.5000, 0.5000, 0.0000)
Co (0.0000, 0.0000, 0.0000)

- Crystal system: tetragonal
- DFT formation energy: 112 meV per atom
- Magnetization: 0.0 μB/cell
- D(E_F): 6.67 states/eV per cell
- Uncorrected energy: -7.694 eV/atom
- Polymorph energy (0 for the lowest one): 0 meV/atom

***

A relaxed Ho4Si5Ge2 crystal, computed with PBE.

a b c (Å): 4.1770 6.7260 7.7773
angles (deg): 88.15 90.00 90.00
Element x y z (fractional)
Ho (0.5000, 0.2381, 0.1257)
Ho (0.5000, 0.7619, 0.8743)
Ho (0.5000, 0.7520, 0.3833)
Si (0.0000, 0.1322, 0.8827)
Si (0.0000, 0.8678, 0.1173)
Ge (0.0000, 0.0970, 0.3632)
Si (0.0000, 0.5390, 0.6587)
Ho (0.5000, 0.2480, 0.6167)
Si (0.0000, 0.5000, 0.0000)
Si (0.0000, 0.4610, 0.3413)
Ge (0.0000, 0.9030, 0.6368)

- Crystal system: monoclinic
- Raw formation energy: -0.594 eV/atom
- Magnetization: 0.0 μB/cell
- D(E_F): 4.09 states/eV per cell
- Uncorrected energy: -5.563 eV/atom

***

A relaxed Li3In2 crystal, computed with PBE.

a b c (Å): 5.5544 5.6556 7.7220
angles (deg): 79.83 68.92 60.59
Element x y z (fractional)
In (0.8041, 0.5436, 0.1044)
In (0.4522, 0.4564, 0.8956)
In (0.0977, 0.9564, 0.6044)
Li (0.2239, 0.5694, 0.3002)
Li (0.2741, 0.0694, 0.1998)
Li (0.9263, 0.0000, 0.0000)
Li (0.6763, 0.5000, 0.5000)
In (0.6586, 0.0436, 0.3956)
Li (0.5433, 0.9306, 0.8002)
Li (0.0935, 0.4306, 0.6998)

- Crystal system: orthorhombic
- DFT formation energy: -224 meV per atom
- Magnetization: 0.0 μB/cell
- D(E_F): 3.70 states/eV per cell
- Uncorrected energy: -2.467 eV/atom
- Polymorph energy (0 for the lowest one): 75 meV/atom

***

A relaxed La3BiIr crystal, computed with PBE.

a b c (Å): 4.3359 8.9190 9.0254
angles (deg): 99.73 89.99 75.93
Element x y z (fractional)
Ir (0.2481, 0.2176, 0.5623)
La (0.0601, 0.5946, 0.6011)
La (0.0052, 0.7052, 0.0325)
La (0.6990, 0.3160, 0.7790)
Bi (0.8066, 0.1013, 0.0655)
La (0.8481, 0.0173, 0.4221)
Ir (0.5326, 0.6499, 0.8169)
La (0.3737, 0.9673, 0.7814)
Bi (0.5206, 0.6734, 0.3236)
La (0.1873, 0.3396, 0.2662)

- Crystal system: monoclinic
- DFT formation energy: -727 meV per atom
- Magnetization: 0.0 μB/cell
- D(E_F): 7.92 states/eV per cell
- Uncorrected energy: -6.231 eV/atom
- Polymorph energy (0 for the lowest one): 103 meV/atom

***

A relaxed Al5Hg12Sb3 crystal, computed with PBE.

a b c (Å): 14.2982 14.2982 14.2982
angles (deg): 109.47 109.47 109.47
Element x y z (fractional)
Hg (0.4031, 0.1231, 0.5774)
Sb (0.7500, 0.8750, 0.6250)
Hg (0.6743, 0.2200, 0.5969)
Hg (0.0969, 0.9226, 0.3769)
Al (0.0000, 0.0000, 0.0000)
Hg (0.5774, 0.6231, 0.4031)
Sb (0.6250, 0.3750, 0.7500)
Hg (0.5457, 0.3257, 0.9226)
Hg (0.0457, 0.4226, 0.8257)
Hg (0.0457, 0.6231, 0.7200)
Al (0.7500, 0.1250, 0.8750)
Sb (0.6250, 0.2500, 0.3750)
Al (0.5000, 0.5000, 0.0000)
Hg (0.8257, 0.9031, 0.2800)
Al (0.0000, 0.0000, 0.5000)
Hg (0.9031, 0.0774, 0.6231)
Al (0.3750, 0.2500, 0.1250)
Al (0.0000, 0.5000, 0.0000)
Hg (0.3769, 0.9543, 0.7800)
Hg (0.4031, 0.2800, 0.3257)
Hg (0.6743, 0.4543, 0.5774)
Hg (0.9226, 0.0969, 0.8769)
Hg (0.0969, 0.1743, 0.2200)
Hg (0.9543, 0.3769, 0.2800)
Al (0.3750, 0.1250, 0.7500)
Hg (0.1743, 0.0774, 0.9543)
Hg (0.1231, 0.4031, 0.0774)
Al (0.1250, 0.7500, 0.3750)
Al (0.8750, 0.2500, 0.6250)
Al (0.6250, 0.8750, 0.2500)
Hg (0.7200, 0.1231, 0.0457)
Hg (0.4226, 0.0457, 0.3257)
Al (0.5000, 0.0000, 0.0000)
Al (0.8750, 0.6250, 0.7500)
Hg (0.8769, 0.2800, 0.4543)
Hg (0.5969, 0.8769, 0.4226)
Hg (0.5457, 0.2200, 0.1231)
Hg (0.8769, 0.5969, 0.9226)
Hg (0.8257, 0.9226, 0.0457)
Al (0.1250, 0.3750, 0.2500)
Hg (0.5774, 0.9543, 0.6743)
Hg (0.9543, 0.5774, 0.1743)
Hg (0.9031, 0.8257, 0.7800)
Hg (0.6231, 0.0457, 0.2200)
Sb (0.1250, 0.8750, 0.7500)
Hg (0.7800, 0.3257, 0.9031)
Hg (0.9226, 0.8257, 0.5457)
Sb (0.3750, 0.6250, 0.2500)
Al (0.2500, 0.8750, 0.1250)
Hg (0.6231, 0.5774, 0.9031)
Al (0.2500, 0.3750, 0.6250)
Hg (0.1743, 0.0969, 0.7200)
Hg (0.2200, 0.5457, 0.6231)
Hg (0.7800, 0.4543, 0.3769)
Hg (0.4543, 0.7800, 0.8769)
Al (0.6250, 0.7500, 0.8750)
Al (0.0000, 0.5000, 0.5000)
Hg (0.7200, 0.5969, 0.1743)
Hg (0.1231, 0.7200, 0.5457)
Sb (0.8750, 0.1250, 0.2500)
Hg (0.0774, 0.9031, 0.1231)
Hg (0.2200, 0.6743, 0.0969)
Sb (0.1250, 0.2500, 0.8750)
Al (0.5000, 0.5000, 0.5000)
Sb (0.8750, 0.7500, 0.1250)
Hg (0.2800, 0.8769, 0.9543)
Hg (0.3257, 0.7800, 0.4031)
Al (0.5000, 0.0000, 0.5000)
Sb (0.3750, 0.7500, 0.6250)
Hg (0.4226, 0.3769, 0.5969)
Hg (0.4543, 0.6743, 0.0774)
Sb (0.2500, 0.6250, 0.8750)
Sb (0.7500, 0.3750, 0.1250)
Hg (0.2800, 0.4031, 0.8257)
Sb (0.2500, 0.1250, 0.3750)
Hg (0.5969, 0.7200, 0.6743)
Hg (0.0774, 0.1743, 0.4543)
Hg (0.3257, 0.5457, 0.4226)
Hg (0.3769, 0.4226, 0.0969)
Al (0.7500, 0.6250, 0.3750)

- Crystal system: cubic
- Raw formation energy: 0.190 eV/atom
- Magnetization: 0.0 μB/cell
- D(E_F): 52.62 states/eV per cell
- Uncorrected energy: -1.545 eV/atom

***

A relaxed ThAl4Pd2 crystal, computed with PBE.

a b c (Å): 4.1097 7.9001 7.9001
angles (deg): 90.00 90.00 90.00
Element x y z (fractional)
Al (0.5000, 0.5836, 0.1637)
Al (0.0000, 0.3363, 0.0836)
Al (0.5000, 0.8363, 0.4164)
Pd (0.5000, 0.7149, 0.7149)
Al (0.0000, 0.0836, 0.3363)
Al (0.5000, 0.4164, 0.8363)
Al (0.5000, 0.1637, 0.5836)
Al (0.0000, 0.6637, 0.9164)
Pd (0.0000, 0.7851, 0.2149)
Th (0.5000, 0.0000, 0.0000)
Pd (0.0000, 0.2149, 0.7851)
Pd (0.5000, 0.2851, 0.2851)
Al (0.0000, 0.9164, 0.6637)
Th (0.0000, 0.5000, 0.5000)

- Crystal system: tetragonal
- DFT formation energy: -665 meV per atom
- Magnetization: 0.0 μB/cell
- D(E_F): 6.31 states/eV per cell
- Uncorrected energy: -5.347 eV/atom
- Polymorph energy (0 for the lowest one): 77 meV/atom

***

A relaxed CaAc2Hg2 crystal, computed with PBE.

a b c (Å): 4.2143 9.1095 9.1095
angles (deg): 90.00 90.00 90.00
Element x y z (fractional)
Hg (0.0000, 0.3650, 0.8650)
Hg (0.0000, 0.8650, 0.6350)
Ca (0.0000, 0.0000, 0.0000)
Ac (0.5000, 0.6623, 0.8377)
Hg (0.0000, 0.6350, 0.1350)
Ca (0.0000, 0.5000, 0.5000)
Ac (0.5000, 0.1623, 0.6623)
Ac (0.5000, 0.3377, 0.1623)
Hg (0.0000, 0.1350, 0.3650)
Ac (0.5000, 0.8377, 0.3377)

- Crystal system: tetragonal
- DFT formation energy: -407 meV per atom
- Magnetization: 0.0 μB/cell
- D(E_F): 10.87 states/eV per cell
- Uncorrected energy: -2.571 eV/atom
- Polymorph energy (0 for the lowest one): 0 meV/atom

***

A relaxed Ho8CoAg2 crystal, computed with PBE.

a b c (Å): 5.9647 8.7011 8.7011
angles (deg): 129.42 103.15 103.15
Element x y z (fractional)
Ag (0.4836, 0.2909, 0.7234)
Co (0.2779, 0.0049, 0.0049)
Ho (0.6492, 0.3787, 0.1529)
Ho (0.2839, 0.6206, 0.8430)
Ag (0.4836, 0.7234, 0.2909)
Ho (0.6492, 0.1529, 0.3787)
Ho (0.9832, 0.8075, 0.1984)
Ho (0.9832, 0.1984, 0.8075)
Ho (0.2839, 0.8430, 0.6206)
Ho (0.1472, 0.2761, 0.2761)
Ho (0.7748, 0.7376, 0.7376)

- Crystal system: monoclinic
- DFT formation energy: -108 meV per atom
- Magnetization: 0.0 μB/cell
- D(E_F): 11.15 states/eV per cell
- Uncorrected energy: -4.602 eV/atom
- Polymorph energy (0 for the lowest one): 20 meV/atom

***

A relaxed Tl2Te crystal, computed with PBE.

a b c (Å): 17.1084 17.1159 17.1159
angles (deg): 163.63 163.63 23.24
Element x y z (fractional)
Tl (0.5004, 0.9996, 0.5008)
Te (0.0750, 0.0730, 0.0020)
Tl (0.5883, 0.5888, 0.9994)
Tl (0.6617, 0.1612, 0.5006)
Tl (0.2491, 0.2495, 0.9996)
Tl (0.0009, 0.5005, 0.5004)
Te (0.1750, 0.6770, 0.4980)
Tl (0.7496, 0.7504, 0.9992)
Tl (0.8383, 0.3388, 0.4995)
Tl (0.4117, 0.4112, 0.0005)
Te (0.3216, 0.8229, 0.4987)
Te (0.9284, 0.9271, 0.0013)

- Crystal system: monoclinic
- Raw formation energy: -0.198 eV/atom
- Magnetization: 0.0 μB/cell
- D(E_F): 6.89 states/eV per cell
- Uncorrected energy: -2.823 eV/atom
- Polymorph energy (0 for the lowest one): 100 meV/atom

***

A relaxed RbNaPH crystal, computed with PBE.

a b c (Å): 5.0632 5.0614 4.5720
angles (deg): 90.00 90.00 120.01
Element x y z (fractional)
Na (0.9053, 0.8106, 0.8529)
H (0.2385, 0.4771, 0.1707)
P (0.2386, 0.4773, 0.8532)
Rb (0.5719, 0.1437, 0.3622)

- Crystal system: trigonal
- Magnetization: 0.0 μB/cell
- Uncorrected energy: -3.083 eV/atom

***

A relaxed CsTbCd2Br8 crystal, computed with PBE.

a b c (Å): 7.0385 7.0669 10.6265
angles (deg): 85.03 84.25 68.86
Element x y z (fractional)
Br (0.3256, 0.2979, 0.5682)
Br (0.2678, 0.7796, 0.8026)
Br (0.6744, 0.7021, 0.4318)
Br (0.7850, 0.2682, 0.8060)
Br (0.7576, 0.7593, 0.9898)
Tb (0.0000, 0.0000, 0.0000)
Cd (0.3744, 0.3703, 0.7903)
Cs (0.0000, 0.0000, 0.5000)
Br (0.2424, 0.2407, 0.0102)
Br (0.7322, 0.2204, 0.1974)
Br (0.2150, 0.7318, 0.1940)
Cd (0.6256, 0.6297, 0.2097)

- Crystal system: triclinic
- Raw formation energy: -1.335 eV/atom
- Magnetization: 0.0 μB/cell
- D(E_F): 0.00 states/eV per cell
- Uncorrected energy: -3.060 eV/atom

***

A relaxed VAgAs2I crystal, computed with PBE.

a b c (Å): 4.6219 6.0784 4.6219
angles (deg): 90.00 90.00 90.00
Element x y z (fractional)
I (0.0000, 0.5000, 0.0000)
As (0.0000, 0.0000, 0.5000)
Ag (0.5000, 0.5000, 0.5000)
As (0.5000, 0.0000, 0.0000)
V (0.0000, 0.0000, 0.0000)

- Crystal system: tetragonal
- Raw formation energy: 0.303 eV/atom
- Magnetization: 0.0 μB/cell
- D(E_F): 4.69 states/eV per cell
- Uncorrected energy: -4.261 eV/atom

***

A relaxed Tb2PmNd4 crystal, computed with PBE.

a b c (Å): 6.2010 6.7075 11.8681
angles (deg): 90.00 104.94 90.00
Element x y z (fractional)
Nd (0.1500, 0.7500, 0.4444)
Pm (0.1536, 0.7500, 0.1553)
Nd (0.9857, 0.2500, 0.1458)
Nd (0.3538, 0.0041, 0.7140)
Tb (0.4031, 0.2500, 0.0027)
Nd (0.6462, 0.5041, 0.2860)
Tb (0.5969, 0.7500, 0.9973)
Nd (0.8500, 0.2500, 0.5556)
Pm (0.8464, 0.2500, 0.8447)
Nd (0.0143, 0.7500, 0.8542)
Tb (0.2894, 0.2500, 0.4327)
Nd (0.6462, 0.9959, 0.2860)
Nd (0.3538, 0.4959, 0.7140)
Tb (0.7106, 0.7500, 0.5673)

- Crystal system: monoclinic
- DFT formation energy: 118 meV per atom
- Magnetization: 0.0 μB/cell
- D(E_F): 21.49 states/eV per cell
- Uncorrected energy: -4.608 eV/atom
- Polymorph energy (0 for the lowest one): 0 meV/atom

***

A relaxed ZnRhCl crystal, computed with PBE.

a b c (Å): 5.2103 5.2103 5.2103
angles (deg): 141.73 141.70 55.26
Element x y z (fractional)
Rh (0.2796, 0.2796, 0.0000)
Cl (0.0182, 0.0182, 0.0000)
Zn (0.7023, 0.7023, 0.0000)

- Crystal system: tetragonal
- Raw formation energy: 0.071 eV/atom
- Magnetization: 0.0 μB/cell
- D(E_F): 1.32 states/eV per cell
- Uncorrected energy: -3.420 eV/atom
- Polymorph energy (0 for the lowest one): 120 meV/atom

***

A relaxed UCdTe2O8 crystal, computed with PBE.

a b c (Å): 6.1179 7.2403 7.4657
angles (deg): 41.93 65.81 65.01
Element x y z (fractional)
O (0.9121, 0.3789, 0.7970)
Te (0.6968, 0.8251, 0.7813)
O (0.0879, 0.6211, 0.2030)
O (0.1768, 0.9337, 0.2669)
Cd (0.5000, 0.5000, 0.5000)
O (0.6593, 0.5239, 0.1575)
U (0.0000, 0.0000, 0.0000)
O (0.3774, 0.0663, 0.7331)
O (0.3407, 0.4761, 0.8425)
O (0.6226, 0.9337, 0.2669)
Te (0.3032, 0.1749, 0.2187)
O (0.8232, 0.0663, 0.7331)

- Crystal system: monoclinic
- Raw formation energy: -1.725 eV/atom
- Magnetization: 0.0 μB/cell
- D(E_F): 0.00 states/eV per cell
- Uncorrected energy: -6.571 eV/atom

***

A relaxed NpU2Ga crystal, computed with PBE.

a b c (Å): 4.0723 4.4122 4.4122
angles (deg): 90.00 90.00 90.00
Last column: magnetic moment on the atom in μB.
Element x y z (fractional)
Ga (0.5000, 0.0000, 0.0000)  -0.03
U (0.0000, 0.5000, 0.0000)  0.02
U (0.0000, 0.0000, 0.5000)  0.02
Np (0.5000, 0.5000, 0.5000)  2.53

- Crystal system: tetragonal
- DFT formation energy: 87 meV per atom
- Magnetization: 2.6 μB/cell
- D(E_F): 9.35 states/eV per cell
- Uncorrected energy: -9.549 eV/atom
- Polymorph energy (0 for the lowest one): 0 meV/atom

***

A relaxed ThCoNi3 crystal, computed with PBE.

a b c (Å): 5.1014 5.9005 5.9004
angles (deg): 120.00 90.00 90.00
Last column: magnetic moment on the atom in μB.
Element x y z (fractional)
Co (0.5000, 0.0000, 0.0000)  1.43
Ni (0.2502, 0.8031, 0.1968)  0.15
Ni (0.7498, 0.6063, 0.8032)  0.15
Th (0.7499, 0.6667, 0.3334)  -0.10
Ni (0.7498, 0.1968, 0.3936)  0.15
Ni (0.2502, 0.3937, 0.1968)  0.15
Co (0.0000, 0.0000, 0.0000)  1.43
Ni (0.7498, 0.1969, 0.8032)  0.15
Ni (0.2502, 0.8032, 0.6064)  0.15
Th (0.2501, 0.3333, 0.6666)  -0.10

- Crystal system: hexagonal
- DFT formation energy: -171 meV per atom
- Magnetization: 3.2 μB/cell
- D(E_F): 11.22 states/eV per cell
- Uncorrected energy: -6.545 eV/atom
- Polymorph energy (0 for the lowest one): 89 meV/atom

***

A relaxed NbAuF2 crystal, computed with PBE.

a b c (Å): 10.3611 10.3611 10.3611
angles (deg): 15.64 15.64 15.64
Element x y z (fractional)
Nb (0.5000, 0.5000, 0.5000)
F (0.8827, 0.8827, 0.8827)
F (0.1173, 0.1173, 0.1173)
Au (0.0000, 0.0000, 0.0000)

- Crystal system: trigonal
- Raw formation energy: -1.551 eV/atom
- Magnetization: 0.0 μB/cell
- D(E_F): 1.12 states/eV per cell
- Uncorrected energy: -5.823 eV/atom
- Polymorph energy (0 for the lowest one): 0 meV/atom